First-principles (PBEsol) data for an optimized crystal structure of KIr2S, as listed in Alexandria via LeMat-Bulk.

Cell and atoms, written as POSCAR:
```
KIr2S
1.0
-2.282 4.384 0.519
-0.679 0.229 -4.917
-5.238 -5.893 2.961
K Ir S
2 4 2
Direct
0.000 0.000 0.000
0.250 0.750 0.500
0.625 0.375 0.750
0.125 0.375 0.750
0.625 0.875 0.250
0.625 0.375 0.250
0.500 0.500 0.000
0.750 0.250 0.500
```

Calculated values
The value obtained for the density of states at the Fermi level is 6.798 states/eV per cell. The value obtained for the magnetization is 0.0 μB per cell. For the density, the calculation gives 8.005 g/cm3. The value obtained for the formation energy without anion corrections is 1.03 eV per formula unit. Its space group is I4_1/amd (141). The energy comes out at -6.033 eV/atom.